This record from Alexandria via LeMat-Bulk describes Zn3Fe3As4O16 after structural relaxation. The functional is PBE+U.

a b c (Å): 8.6396 5.3886 15.7508
angles (deg): 90.00 109.17 90.00
Space group P2_1/c (No. 14)
Symmetry-distinct sites (fractional):
Zn (0.0000, 0.0000, 0.0000) x2
Zn (0.2728, 0.0985, 0.2715) x4
Fe (0.2251, 0.5488, 0.3777) x4
Fe (0.5000, 0.0000, 0.5000) x2
As (0.0318, 0.5102, 0.1440) x4
As (0.4191, 0.5283, 0.6061) x4
O (0.0051, 0.6748, 0.6234) x4
O (0.0850, 0.1749, 0.5715) x4
O (0.1509, 0.5880, 0.8407) x4
O (0.1844, 0.0541, 0.7472) x4
O (0.2516, 0.5839, 0.5124) x4
O (0.3872, 0.5741, 0.7049) x4
O (0.4309, 0.2481, 0.3953) x4
O (0.4747, 0.7350, 0.4039) x4

density = 4.409 Mg/m³
raw total energy = -5.893 eV per atom

=====

This record from Alexandria via LeMat-Bulk describes ZrFeAs2O after structural relaxation. The functional is PBE+U.

a b c (Å): 4.7821 4.7821 4.0375
angles (deg): 90.00 90.00 90.00
Space group P4/mmm (No. 123)
Symmetry-distinct sites (fractional):
Zr (0.0000, 0.0000, 0.0000) x1
Fe (0.5000, 0.5000, 0.0000) x1
As (0.0000, 0.5000, 0.5000) x2
O (0.0000, 0.0000, 0.5000) x1

density = 5.628 Mg/m³
raw total energy = -5.924 eV per atom